Compound: LaUTc2
Source: the Alexandria database
Functional: PBE
Structure: optimized geometry

abc: 8.5698 3.9126 10.9481
angles: 90.00 90.00 90.00
Closest atoms and distances in Å follow each position.
Element x y z (fractional)
1 La 0.1136 0.2500 0.1283  7 Tc 3.20-3.43, 2 U 3.51
2 La 0.3864 0.7500 0.6283  7 Tc 3.20-3.43, 2 U 3.51
3 La 0.6136 0.2500 0.3717  7 Tc 3.20-3.43, 2 U 3.51
4 La 0.8864 0.7500 0.8717  7 Tc 3.20-3.43, 2 U 3.51
5 U 0.0466 0.2500 0.6205  2 Tc 2.25-2.32
6 U 0.4534 0.7500 0.1205  2 Tc 2.25-2.32
7 U 0.5466 0.2500 0.8795  2 Tc 2.25-2.32
8 U 0.9534 0.7500 0.3795  2 Tc 2.25-2.32
9 Tc 0.1681 0.2500 0.8021  1 U 2.25
10 Tc 0.1820 0.2500 0.4370  1 U 2.32
11 Tc 0.3180 0.7500 0.9370  1 U 2.32
12 Tc 0.3319 0.7500 0.3021  1 U 2.25
13 Tc 0.6681 0.2500 0.6979  1 U 2.25
14 Tc 0.6820 0.2500 0.0630  1 U 2.32
15 Tc 0.8180 0.7500 0.5630  1 U 2.32
16 Tc 0.8319 0.7500 0.1979  1 U 2.25

## Properties
* formation enthalpy at 0 K: -61 meV per atom
* E above lowest polymorph: 0 meV/atom
* uncorrected energy: -0.342 Ha/atom